# Sr7Hg2Pt2

Sr7Hg2Pt2 after structural relaxation (PBE, the Alexandria database).

Cell: 7.463 7.661 7.463 Å, 90.00 105.67 90.00°
Fractional coordinates of all 11 atoms:
Sr (0.000, 0.254, 0.500)
Sr (0.500, 0.241, 0.500)
Sr (0.000, 0.000, 0.000)
Hg (0.177, 0.500, 0.177)
Sr (0.500, 0.746, 0.000)
Pt (0.715, 0.000, 0.285)
Pt (0.285, 0.000, 0.715)
Sr (0.000, 0.746, 0.500)
Sr (0.500, 0.759, 0.500)
Hg (0.823, 0.500, 0.823)
Sr (0.500, 0.254, 0.000)

Values from the calculation:
ΔH_f (0 K)   -5.54 eV/f.u.
Energy   -2.727 eV/atom
Crystal system   orthorhombic
Total magnetic moment   0.0 μB/f.u.
Energy above the most stable polymorph in this dataset   0.053 eV per atom